The following is a DFT calculation (GGA-PBE) of Th8Ge3IrSe4 after structural relaxation.

Lattice parameters (Å, degrees): 8.572 8.488 8.573 120.33 120.00 90.00
Sites, in units of the cell vectors:
Th: 0.239 0.733 0.994
Th: 0.239 0.733 0.478
Th: 0.253 0.258 0.506
Th: 0.755 0.733 0.994
Th: 0.245 0.267 0.006
Th: 0.747 0.742 0.494
Th: 0.761 0.267 0.522
Th: 0.761 0.267 0.006
Ge: 0.500 0.500 0.000
Ge: 0.500 0.500 0.500
Ge: 0.000 0.500 0.500
Ir: 0.000 0.500 0.000
Se: 0.500 0.000 0.000
Se: 0.500 0.000 0.500
Se: 0.000 0.000 0.000
Se: 0.000 0.000 0.500

***

The following is a DFT calculation (GGA-PBE) of GeIr2WSe after structural relaxation.

Lattice parameters (Å, degrees): 4.546 4.741 4.546 90.00 90.00 90.00
Sites, in units of the cell vectors:
Ge: 0.000 0.000 0.000
Ir: 0.000 0.000 0.500
Ir: 0.500 0.000 0.000
Se: 0.500 0.500 0.500
W: 0.000 0.500 0.000

***

The following is a DFT calculation (GGA-PBE) of YGe2IrSe after structural relaxation.

Lattice parameters (Å, degrees): 4.620 5.824 4.620 90.00 90.00 90.00
Sites, in units of the cell vectors:
Y: 0.000 0.500 0.000
Ge: 0.000 0.000 0.500
Ge: 0.500 0.000 0.000
Ir: 0.000 0.000 0.000
Se: 0.500 0.500 0.500

***

The following is a DFT calculation (GGA-PBE) of ZrGe2IrSe after structural relaxation.

Lattice parameters (Å, degrees): 4.621 5.448 4.621 90.00 90.00 90.00
Sites, in units of the cell vectors:
Ge: 0.000 0.000 0.500
Ge: 0.500 0.000 0.000
Ir: 0.000 0.000 0.000
Se: 0.500 0.500 0.500
Zr: 0.000 0.500 0.000

***

| no. | formation energy without anion corrections (eV/atom) |
| --- | --- |
| 1 | -1.230 |
| 2 | 1.528 |
| 3 | -0.486 |
| 4 | -0.006 |